NaZnHgGe | PBE | optimized geometry

Its formation energy from the elements is 0.07 eV/atom. The calculation puts the density of states at the Fermi level at 0.7639 states/eV per atom. The value obtained for the mass density is 7.19 g/cm3.

The space group is F-43m (No. 216) and the conventional cell measures 6.940, 6.940 and 6.940 Å, with angles of 90.00, 90.00 and 90.00 degrees. The distinct sites, in fractional coordinates, are Na at (0.000, 0.000, 0.000), Zn at (0.250, 0.250, 0.250), Hg at (0.250, 0.250, 0.750) and Ge at (0.000, 0.000, 0.500).

Rb2PrInI6 | PBE | optimized geometry

As for the formation energy from raw total energies: -1263.9 meV/atom. The calculation puts the density of states at the Fermi level at 0.0000 states/eV per atom. The value obtained for the mass density is 3.78 g/cm3.

The space group is R3 (No. 146, hexagonal axes) and the conventional cell measures 8.9374, 8.9374 and 22.6332 Å, with angles of 90.00, 90.00 and 120.00 degrees. The distinct sites, in fractional coordinates, are Rb at (0.0000, 0.0000, 0.0000), Rb at (0.0000, 0.0000, 0.4921), Pr at (0.0000, 0.0000, 0.7878), In at (0.0000, 0.0000, 0.2825), I at (0.0304, 0.6201, 0.5396) and I at (0.0740, 0.3454, 0.3783).

Dy2Ni15Ir2 | PBE | optimized geometry

Its formation energy from the elements is -0.20 eV/atom. The calculation puts the density of states at the Fermi level at 1.3663 states/eV per atom. The value obtained for the mass density is 10.70 g/cm3.

The space group is R-3m (No. 166, hexagonal axes) and the conventional cell measures 8.3401, 8.3401 and 12.2871 Å, with angles of 90.00, 90.00 and 120.00 degrees. The distinct sites, in fractional coordinates, are Dy at (0.0000, 0.0000, 0.1568), Ni at (0.0000, 0.2969, 0.5000), Ni at (0.0000, 0.5000, 0.0000), Ni at (0.0020, 0.5010, 0.6548) and Ir at (0.0000, 0.0000, 0.3975).

Ir2Rh | PBE | optimized geometry

Its formation energy from the elements is 0.59 eV/atom. The calculation puts the density of states at the Fermi level at 2.1062 states/eV per atom. The value obtained for the mass density is 17.10 g/cm3.

The space group is Fd-3m (No. 227, origin choice 2) and the conventional cell measures 7.234, 7.234 and 7.234 Å, with angles of 90.00, 90.00 and 90.00 degrees. The distinct sites, in fractional coordinates, are Ir at (0.000, 0.000, 0.000) and Rh at (0.125, 0.125, 0.625).

Ba2SiN | PBE | optimized geometry

As for the formation energy from raw total energies: 176.9 meV/atom. The calculation puts the density of states at the Fermi level at 2.1861 states/eV per atom. The value obtained for the mass density is 4.06 g/cm3.

The space group is I-42d (No. 122) and the conventional cell measures 7.780, 7.780 and 8.567 Å, with angles of 90.00, 90.00 and 90.00 degrees. The distinct sites, in fractional coordinates, are Ba at (0.171, 0.250, 0.125), Si at (0.000, 0.000, 0.500) and N at (0.000, 0.000, 0.000).

Pm4Al2I5 | PBE | optimized geometry

As for the formation energy from raw total energies: -843.3 meV/atom. The calculation puts the density of states at the Fermi level at 0.6483 states/eV per atom. The value obtained for the mass density is 4.66 g/cm3.

The space group is C2/m (No. 12) and the conventional cell measures 24.483, 4.177 and 8.844 Å, with angles of 90.00, 92.51 and 90.00 degrees. The distinct sites, in fractional coordinates, are Pm at (0.023, 0.000, 0.285), Pm at (0.166, 0.500, 0.436), Al at (0.051, 0.500, 0.535), I at (0.000, 0.500, 0.000), I at (0.147, 0.000, 0.171) and I at (0.209, 0.000, 0.684).

HoMg4Au2 | PBE | optimized geometry

Its formation energy from the elements is -0.48 eV/atom. The calculation puts the density of states at the Fermi level at 0.5346 states/eV per atom. The value obtained for the mass density is 7.07 g/cm3.

The space group is P4_2/mnm (No. 136) and the conventional cell measures 9.125, 9.125 and 3.700 Å, with angles of 90.00, 90.00 and 90.00 degrees. The distinct sites, in fractional coordinates, are Ho at (0.000, 0.000, 0.000), Mg at (0.086, 0.323, 0.500) and Au at (0.184, 0.816, 0.500).

NaCaPb | PBE | optimized geometry

Its formation energy from the elements is -0.17 eV/atom. The calculation puts the density of states at the Fermi level at 0.9911 states/eV per atom. The value obtained for the mass density is 4.09 g/cm3.

The space group is F-43m (No. 216) and the conventional cell measures 7.600, 7.600 and 7.600 Å, with angles of 90.00, 90.00 and 90.00 degrees. The distinct sites, in fractional coordinates, are Na at (0.000, 0.000, 0.000), Ca at (0.000, 0.000, 0.500) and Pb at (0.250, 0.250, 0.750).

LiTlS2 | PBE | optimized geometry

As for the formation energy from raw total energies: -563.1 meV/atom. The calculation puts the density of states at the Fermi level at 0.0000 states/eV per atom. The value obtained for the mass density is 4.79 g/cm3.

The space group is P2_1/c (No. 14) and the conventional cell measures 5.635, 4.707 and 14.403 Å, with angles of 90.00, 92.36 and 90.00 degrees. The distinct sites, in fractional coordinates, are Li at (0.249, 0.164, 0.493), Tl at (0.290, 0.643, 0.682), S at (0.022, 0.654, 0.876) and S at (0.331, 0.664, 0.441).

Sm6P5H | PBE | optimized geometry

The total DFT energy (no corrections) comes out at -6.28 eV per atom. The calculation puts the density of states at the Fermi level at 0.2347 states/eV per atom. The value obtained for the mass density is 6.16 g/cm3.

The space group is C2/m (No. 12) and the conventional cell measures 7.045, 12.181 and 7.050 Å, with angles of 90.00, 109.48 and 90.00 degrees. The distinct sites, in fractional coordinates, are Sm at (0.243, 0.000, 0.257), Sm at (0.245, 0.171, 0.747), P at (0.000, 0.000, 0.500), P at (0.000, 0.167, 0.000), P at (0.000, 0.334, 0.500) and H at (0.000, 0.500, 0.000).

CrSn2Rh | PBE | optimized geometry

Its formation energy from the elements is 0.09 eV/atom. The calculation puts the density of states at the Fermi level at 1.2595 states/eV per atom. The value obtained for the mass density is 9.51 g/cm3.

The space group is Fm-3m (No. 225) and the conventional cell measures 6.495, 6.495 and 6.495 Å, with angles of 90.00, 90.00 and 90.00 degrees. The distinct sites, in fractional coordinates, are Cr at (0.000, 0.000, 0.000), Sn at (0.250, 0.250, 0.250) and Rh at (0.000, 0.000, 0.500).

Sc8Ir2Au | PBE | optimized geometry

Its formation energy from the elements is -0.52 eV/atom. The calculation puts the density of states at the Fermi level at 1.2088 states/eV per atom. The value obtained for the mass density is 6.51 g/cm3.

The space group is C2/m (No. 12) and the conventional cell measures 8.061, 12.253 and 5.045 Å, with angles of 90.00, 105.59 and 90.00 degrees. The distinct sites, in fractional coordinates, are Sc at (0.000, 0.235, 0.000), Sc at (0.127, 0.500, 0.813), Sc at (0.198, 0.129, 0.587), Ir at (0.000, 0.313, 0.500) and Au at (0.000, 0.000, 0.000).

YTm2PaCo2 | PBE | optimized geometry

Its formation energy from the elements is -0.18 eV/atom. The calculation puts the density of states at the Fermi level at 1.0545 states/eV per atom. The value obtained for the mass density is 8.97 g/cm3.

The space group is Ibam (No. 72) and the conventional cell measures 6.851, 12.534 and 6.688 Å, with angles of 90.00, 90.00 and 90.00 degrees. The distinct sites, in fractional coordinates, are Y at (0.000, 0.000, 0.250), Tm at (0.187, 0.296, 0.000), Pa at (0.000, 0.500, 0.250) and Co at (0.202, 0.407, 0.500).

CeIn3Te3 | PBE | optimized geometry

As for the formation energy from raw total energies: -566.9 meV/atom. The calculation puts the density of states at the Fermi level at 1.0704 states/eV per atom. The value obtained for the mass density is 5.49 g/cm3.

The space group is R-3 (No. 148, hexagonal axes) and the conventional cell measures 7.7791, 7.7791 and 30.0184 Å, with angles of 90.00, 90.00 and 120.00 degrees. The distinct sites, in fractional coordinates, are Ce at (0.0000, 0.0000, 0.1661), In at (0.0019, 0.3270, 0.6248) and Te at (0.0021, 0.3498, 0.4363).

GdYH | PBE | optimized geometry

The total DFT energy (no corrections) comes out at -8.21 eV per atom. The calculation puts the density of states at the Fermi level at 1.0508 states/eV per atom. The value obtained for the mass density is 6.33 g/cm3.

The space group is P3m1 (No. 156) and the conventional cell measures 3.6350, 3.6350 and 5.6655 Å, with angles of 90.00, 90.00 and 120.00 degrees. The distinct sites, in fractional coordinates, are Gd at (0.0000, 0.0000, 0.0000), Y at (0.6667, 0.3333, 0.5141) and H at (0.3333, 0.6667, 0.7539).

PmErNiRu | PBE | optimized geometry

Its formation energy from the elements is -0.32 eV/atom. The calculation puts the density of states at the Fermi level at 0.7443 states/eV per atom. The value obtained for the mass density is 9.77 g/cm3.

The space group is F-43m (No. 216) and the conventional cell measures 6.847, 6.847 and 6.847 Å, with angles of 90.00, 90.00 and 90.00 degrees. The distinct sites, in fractional coordinates, are Pm at (0.000, 0.000, 0.000), Er at (0.000, 0.000, 0.500), Ni at (0.250, 0.250, 0.250) and Ru at (0.250, 0.250, 0.750).

LiSiS2 | PBE | optimized geometry

As for the formation energy from raw total energies: -591.5 meV/atom. The calculation puts the density of states at the Fermi level at 0.3274 states/eV per atom. The value obtained for the mass density is 1.94 g/cm3.

The space group is I-42d (No. 122) and the conventional cell measures 5.405, 5.405 and 11.633 Å, with angles of 90.00, 90.00 and 90.00 degrees. The distinct sites, in fractional coordinates, are Li at (0.000, 0.000, 0.000), Si at (0.000, 0.000, 0.500) and S at (0.215, 0.250, 0.625).

Mg4FeP2 | PBE | optimized geometry

Its formation energy from the elements is 0.34 eV/atom. The calculation puts the density of states at the Fermi level at 0.4692 states/eV per atom. The value obtained for the mass density is 2.36 g/cm3.

The space group is I4/mmm (No. 139) and the conventional cell measures 4.737, 4.737 and 13.465 Å, with angles of 90.00, 90.00 and 90.00 degrees. The distinct sites, in fractional coordinates, are Mg at (0.000, 0.000, 0.191), Mg at (0.000, 0.500, 0.000), Fe at (0.000, 0.000, 0.000) and P at (0.000, 0.000, 0.377).

Na14Cu2O9 | PBE | optimized geometry

As for the formation energy from raw total energies: -1098.8 meV/atom. The calculation puts the density of states at the Fermi level at 0.7200 states/eV per atom. The value obtained for the mass density is 2.74 g/cm3.

The space group is P-3 (No. 147) and the conventional cell measures 6.6658, 6.6658 and 9.3394 Å, with angles of 90.00, 90.00 and 120.00 degrees. The distinct sites, in fractional coordinates, are Na at (0.0000, 0.0000, 0.2492), Na at (0.0308, 0.6720, 0.4072), Na at (0.0618, 0.3770, 0.0942), Cu at (0.3333, 0.6667, 0.7626), O at (0.0000, 0.0000, 0.5000), O at (0.0560, 0.3599, 0.8370) and O at (0.3333, 0.6667, 0.5421).

Nd6Y2Tm3 | PBE | optimized geometry

Its formation energy from the elements is 0.30 eV/atom. The calculation puts the density of states at the Fermi level at 1.4655 states/eV per atom. The value obtained for the mass density is 6.70 g/cm3.

The space group is I4/mmm (No. 139) and the conventional cell measures 4.739, 4.739 and 34.213 Å, with angles of 90.00, 90.00 and 90.00 degrees. The distinct sites, in fractional coordinates, are Nd at (0.000, 0.000, 0.206), Nd at (0.000, 0.500, 0.121), Y at (0.000, 0.000, 0.045), Tm at (0.000, 0.000, 0.306) and Tm at (0.000, 0.000, 0.500).

PmEuHoLu | PBE | optimized geometry

Its formation energy from the elements is 0.15 eV/atom. The calculation puts the density of states at the Fermi level at 1.6457 states/eV per atom. The value obtained for the mass density is 7.93 g/cm3.

The space group is F-43m (No. 216) and the conventional cell measures 8.112, 8.112 and 8.112 Å, with angles of 90.00, 90.00 and 90.00 degrees. The distinct sites, in fractional coordinates, are Pm at (0.000, 0.000, 0.000), Eu at (0.000, 0.000, 0.500), Ho at (0.250, 0.250, 0.250) and Lu at (0.250, 0.250, 0.750).

K3Pu2CoSe6 | PBE | optimized geometry

As for the formation energy from raw total energies: -1079.9 meV/atom. The calculation puts the density of states at the Fermi level at 1.8203 states/eV per atom. The value obtained for the mass density is 5.63 g/cm3.

The space group is C2/m (No. 12) and the conventional cell measures 7.129, 12.357 and 7.980 Å, with angles of 90.00, 107.40 and 90.00 degrees. The distinct sites, in fractional coordinates, are K at (0.000, 0.000, 0.000), K at (0.000, 0.331, 0.000), Pu at (0.000, 0.166, 0.500), Co at (0.000, 0.500, 0.500), Se at (0.223, 0.342, 0.695) and Se at (0.250, 0.000, 0.696).

SiHgSbSe2 | PBE | optimized geometry

As for the formation energy from raw total energies: 735.5 meV/atom. The calculation puts the density of states at the Fermi level at 0.6502 states/eV per atom. The value obtained for the mass density is 5.36 g/cm3.

The space group is P4/mmm (No. 123) and the conventional cell measures 5.424, 5.424 and 5.355 Å, with angles of 90.00, 90.00 and 90.00 degrees. The distinct sites, in fractional coordinates, are Si at (0.000, 0.000, 0.000), Hg at (0.500, 0.500, 0.000), Sb at (0.500, 0.500, 0.500) and Se at (0.000, 0.500, 0.500).